<one>
# MgCr2O4

A geometry-optimized MgCr2O4 structure (GGA+U, Alexandria via LeMat-Bulk).

```
data_MgCr2O4
_symmetry_space_group_name_H-M 'I m m a'
_symmetry_Int_Tables_number 74
_symmetry_space_group_name_Hall '-I 2b 2'
_cell_length_a 6.018
_cell_length_b 6.285
_cell_length_c 8.022
_cell_angle_alpha 90.00
_cell_angle_beta 90.00
_cell_angle_gamma 90.00
loop_
_atom_site_label
_atom_site_fract_x
_atom_site_fract_y
_atom_site_fract_z
_atom_site_occupancy
Mg1 0.000 0.000 0.000 1
Cr1 0.000 0.250 0.369 1
Cr2 0.250 0.250 0.750 1
O1 0.000 0.033 0.743 1
O2 0.232 0.250 0.003 1
```

Calculated volume (Å³/cell): 303


<two>
# MgCr2O4

A geometry-optimized MgCr2O4 structure (GGA+U, Alexandria via LeMat-Bulk).

```
data_MgCr2O4
_symmetry_space_group_name_H-M 'P 3 m 1'
_symmetry_Int_Tables_number 156
_cell_length_a 5.9980
_cell_length_b 5.9980
_cell_length_c 14.6779
_cell_angle_alpha 90.00
_cell_angle_beta 90.00
_cell_angle_gamma 120.00
loop_
_symmetry_equiv_pos_as_xyz
'x,y,z'
'-y,x-y,z'
'-x+y,-x,z'
'-y,-x,z'
'-x+y,y,z'
'x,x-y,z'
loop_
_atom_site_label
_atom_site_fract_x
_atom_site_fract_y
_atom_site_fract_z
_atom_site_occupancy
Mg1 0.0000 0.0000 0.0000 1
Mg2 0.0000 0.0000 0.2439 1
Mg3 0.3333 0.6667 0.5816 1
Mg4 0.6667 0.3333 0.2865 1
Mg5 0.6667 0.3333 0.6649 1
Mg6 0.6667 0.3333 0.9143 1
Cr1 0.0000 0.0000 0.6225 1
Cr2 0.1666 0.3332 0.7897 1
Cr3 0.3314 0.1657 0.4563 1
Cr4 0.3333 0.6667 0.3313 1
Cr5 0.3333 0.6667 0.9568 1
Cr6 0.5016 0.0032 0.1234 1
O1 0.0000 0.0000 0.3835 1
O2 0.0000 0.0000 0.8623 1
O3 0.0289 0.5145 0.8687 1
O4 0.1525 0.3050 0.5354 1
O5 0.1823 0.3646 0.0433 1
O6 0.3034 0.1517 0.7092 1
O7 0.3333 0.6667 0.1997 1
O8 0.3333 0.6667 0.7170 1
O9 0.3577 0.1788 0.1996 1
O10 0.5100 0.0200 0.3788 1
O11 0.6667 0.3333 0.0501 1
O12 0.6667 0.3333 0.5280 1
```

Calculated volume (Å³/cell): 457


How far above the most stable structure does each one sit? In eV/atom: <one> 0.077; <two> 0.000.